No. 1
VASP calculation (PBE-GGA) on a relaxed LiHfPd2 crystal.

```
16
Lattice="6.902 0.000 0.000 0.000 6.902 0.000 0.000 0.000 5.693" Properties=species:S:1:pos:R:3 pbc="T T T"
Li 0.000 0.000 0.000
Li 0.000 3.451 1.423
Li 3.451 0.000 4.270
Li 3.451 3.451 2.847
Hf 0.000 0.000 2.847
Hf 0.000 3.451 4.270
Hf 3.451 0.000 1.423
Hf 3.451 3.451 0.000
Pd 1.600 1.726 0.712
Pd 1.726 5.051 2.135
Pd 1.726 5.302 4.982
Pd 1.851 1.726 3.558
Pd 5.051 5.177 3.558
Pd 5.177 1.600 4.982
Pd 5.177 1.851 2.135
Pd 5.302 5.177 0.712
```

Properties
E_form (eV per formula unit): -1.3
Polymorph energy (0 for the lowest one) (meV per atom): 335
Spin magnetization (μB/cell): 0.0


No. 2
VASP calculation (PBE-GGA) on a relaxed TiNbSeN2 crystal.

```
5
Lattice="3.994 0.000 0.000 0.000 3.994 0.000 0.000 0.000 5.244" Properties=species:S:1:pos:R:3 pbc="T T T"
Ti 0.000 0.000 0.000
Nb 1.997 1.997 2.622
Se 1.997 1.997 0.000
N 0.000 1.997 2.622
N 1.997 0.000 2.622
```

Properties
Polymorph energy (0 for the lowest one) (meV per atom): 0
Spin magnetization (μB/cell): 0.0


No. 3
VASP calculation (PBE-GGA) on a relaxed Ce5NpSe6 crystal.

```
12
Lattice="3.619 -6.276 0.000 3.619 6.276 0.000 -2.420 0.000 6.829" Properties=species:S:1:pos:R:3 pbc="T T T"
Ce 0.000 0.000 0.000
Ce 2.409 4.186 3.415
Ce 3.619 2.112 0.000
Ce 3.619 -2.112 0.000
Ce 2.409 -4.186 3.415
Np 2.409 0.000 3.415
Se 1.221 2.065 1.729
Se 0.027 0.000 5.111
Se 1.221 -2.065 1.729
Se 3.597 2.065 5.100
Se 4.791 0.000 1.718
Se 3.597 -2.065 5.100
```

Properties
Electronic total energy (eV for the cell shown): -83.8
Spin magnetization (μB/cell): 8.7


No. 4
VASP calculation (PBE-GGA) on a relaxed Ti2InPd2 crystal.

```
10
Lattice="5.247 0.000 0.000 0.000 4.583 0.000 -1.525 0.000 7.022" Properties=species:S:1:pos:R:3 pbc="T T T"
Ti -0.149 1.146 2.424
Ti 0.760 3.437 0.350
Ti 2.963 1.146 6.672
Ti 3.871 3.437 4.598
In 0.221 1.146 5.331
In 3.502 3.437 1.691
Pd 0.980 3.437 3.157
Pd 2.050 1.146 1.088
Pd 1.673 3.437 5.934
Pd 2.743 1.146 3.865
```

Properties
E_form (eV per formula unit): -2.2
Spin magnetization (μB/cell): 0.0


No. 5
VASP calculation (PBE-GGA) on a relaxed Sc2CdSe crystal.

```
8
Lattice="4.553 0.000 0.000 0.000 4.553 0.000 0.000 0.000 8.186" Properties=species:S:1:pos:R:3 pbc="T T T"
Sc 0.000 2.277 2.047
Sc 0.000 2.277 6.140
Sc 2.277 0.000 2.047
Sc 2.277 0.000 6.140
Cd 0.000 0.000 0.000
Cd 2.277 2.277 4.093
Se 0.000 0.000 4.093
Se 2.277 2.277 0.000
```

Properties
Polymorph energy (0 for the lowest one) (meV per atom): 348
Spin magnetization (μB/cell): 2.1


No. 6
VASP calculation (PBE-GGA) on a relaxed La4Pm3TmS8 crystal.

```
16
Lattice="4.066 2.348 6.671 -4.066 2.348 6.671 0.000 -4.695 6.671" Properties=species:S:1:pos:R:3 pbc="T T T"
La 0.000 0.000 0.000
La -2.033 -1.174 6.671
La -2.033 1.174 13.342
La 0.000 2.348 6.671
Pm -4.066 0.000 10.007
Pm -2.033 1.174 3.336
Pm 2.033 1.174 3.336
Tm 0.000 0.000 10.007
S 0.000 0.000 4.949
S -1.975 -1.140 11.574
S 0.000 -2.280 8.440
S -1.975 1.140 8.440
S 1.975 -1.140 11.574
S 0.000 2.280 11.574
S 1.975 1.140 8.440
S 0.000 0.000 15.065
```

Properties
Electronic total energy (eV for the cell shown): -104.8
Spin magnetization (μB/cell): 0.0


No. 7
VASP calculation (PBE-GGA) on a relaxed Sr2Cu4Sn3Hg crystal.

```
10
Lattice="4.608 0.000 0.000 0.000 4.608 0.000 0.000 0.000 10.643" Properties=species:S:1:pos:R:3 pbc="T T T"
Sr 0.000 2.304 2.556
Sr 2.304 0.000 8.088
Cu 0.000 0.000 0.000
Cu 0.000 2.304 6.729
Cu 2.304 0.000 3.914
Cu 2.304 2.304 0.000
Sn 0.000 2.304 9.315
Sn 2.304 0.000 1.328
Sn 2.304 2.304 5.322
Hg 0.000 0.000 5.322
```

Properties
E_form (eV per formula unit): -2.9
Spin magnetization (μB/cell): 0.0


No. 8
VASP calculation (PBE-GGA) on a relaxed ScSbS2Cl crystal.

```
5
Lattice="5.020 0.000 0.000 0.000 5.020 0.000 0.000 0.000 4.758" Properties=species:S:1:pos:R:3 pbc="T T T"
Sc 0.000 0.000 0.000
Sb 2.510 2.510 2.379
S 0.000 2.510 0.000
S 2.510 0.000 0.000
Cl 0.000 0.000 2.379
```

Properties
Polymorph energy (0 for the lowest one) (meV per atom): 0
Spin magnetization (μB/cell): 0.4